# 1
A geometry-optimized Rb5Cd2Te5 structure, computed with PBE.

Output
Raw formation energy, meV per atom: -769.7
DOS at the Fermi energy, states/eV per atom: 0.4790
Crystal system: monoclinic
Total DFT energy (no corrections), eV per atom: -2.6344

Lattice parameters (Å, degrees): 8.934 8.934 13.258 103.54 103.54 29.51
Fractional coordinates of all 12 atoms:
Rb: 0.000 0.000 0.000
Rb: 0.162 0.162 0.588
Rb: 0.278 0.278 0.874
Rb: 0.722 0.722 0.126
Rb: 0.838 0.838 0.412
Cd: 0.461 0.461 0.703
Cd: 0.539 0.539 0.297
Te: 0.143 0.143 0.294
Te: 0.392 0.392 0.143
Te: 0.500 0.500 0.500
Te: 0.608 0.608 0.857
Te: 0.857 0.857 0.706

=====

# 2
A geometry-optimized SmAl4PtAu2 structure, computed with PBE.

Output
DOS at the Fermi energy, states/eV per atom: 0.2490
Crystal system: trigonal
Energy relative to the elements, eV/f.u.: -5.29
Total DFT energy (no corrections), eV per atom: -4.6969

Lattice parameters (Å, degrees): 9.957 9.957 9.957 25.08 25.08 25.08
Fractional coordinates of all 8 atoms:
Sm: 0.000 0.000 0.000
Al: 0.136 0.136 0.136
Al: 0.413 0.413 0.413
Al: 0.587 0.587 0.587
Al: 0.864 0.864 0.864
Pt: 0.500 0.500 0.500
Au: 0.269 0.269 0.269
Au: 0.731 0.731 0.731

=====

# 3
A geometry-optimized Dy4CO4 structure, computed with PBE.

Output
Raw formation energy, meV per atom: -2250.0
DOS at the Fermi energy, states/eV per atom: 0.2638
Crystal system: tetragonal
Total DFT energy (no corrections), eV per atom: -7.5239

Lattice parameters (Å, degrees): 6.459 6.459 6.459 128.38 128.38 76.01
Fractional coordinates of all 9 atoms:
Dy: 0.164 0.164 0.561
Dy: 0.398 0.836 0.000
Dy: 0.602 0.602 0.439
Dy: 0.836 0.398 0.000
C: 0.500 0.500 0.000
O: 0.000 0.500 0.500
O: 0.220 0.220 0.000
O: 0.500 0.000 0.500
O: 0.780 0.780 0.000

=====

# 4
A geometry-optimized LiDy2ScHg4 structure, computed with PBE.

Output
DOS at the Fermi energy, states/eV per atom: 0.7493
Crystal system: trigonal
Energy relative to the elements, eV/f.u.: -3.61
Total DFT energy (no corrections), eV per atom: -2.7830

Lattice parameters (Å, degrees): 8.834 8.834 8.834 33.40 33.40 33.40
Fractional coordinates of all 8 atoms:
Li: 0.000 0.000 0.000
Dy: 0.253 0.253 0.253
Dy: 0.747 0.747 0.747
Sc: 0.500 0.500 0.500
Hg: 0.126 0.126 0.126
Hg: 0.375 0.375 0.375
Hg: 0.625 0.625 0.625
Hg: 0.874 0.874 0.874

=====

# 5
A geometry-optimized Y3InN structure, computed with PBE.

Output
Raw formation energy, meV per atom: -928.1
DOS at the Fermi energy, states/eV per atom: 0.7078
Crystal system: hexagonal
Total DFT energy (no corrections), eV per atom: -7.0193

Lattice parameters (Å, degrees): 6.797 6.797 5.822 90.00 90.00 120.00
Fractional coordinates of all 10 atoms:
Y: 0.161 0.322 0.250
Y: 0.161 0.839 0.250
Y: 0.322 0.161 0.750
Y: 0.678 0.839 0.250
Y: 0.839 0.161 0.750
Y: 0.839 0.678 0.750
In: 0.333 0.667 0.750
In: 0.667 0.333 0.250
N: 0.000 0.000 0.000
N: 0.000 0.000 0.500

=====

# 6
A geometry-optimized AsPt2Br structure, computed with PBE.

Output
Raw formation energy, meV per atom: 414.9
ΔE to the lowest computed polymorph, meV per atom: 580
DOS at the Fermi energy, states/eV per atom: 0.1581
Crystal system: cubic
Total DFT energy (no corrections), eV per atom: -4.1861

Lattice parameters (Å, degrees): 6.573 6.573 6.573 90.00 90.00 90.00
Fractional coordinates of all 16 atoms:
As: 0.000 0.000 0.000
As: 0.000 0.500 0.500
As: 0.500 0.000 0.500
As: 0.500 0.500 0.000
Pt: 0.250 0.250 0.250
Pt: 0.250 0.250 0.750
Pt: 0.250 0.750 0.250
Pt: 0.250 0.750 0.750
Pt: 0.750 0.250 0.250
Pt: 0.750 0.250 0.750
Pt: 0.750 0.750 0.250
Pt: 0.750 0.750 0.750
Br: 0.000 0.000 0.500
Br: 0.000 0.500 0.000
Br: 0.500 0.000 0.000
Br: 0.500 0.500 0.500